Nd8Sm2Sc, relaxed, DFT PBE; calculated total energy = -4.7390 eV/atom; DFT formation energy = 0.162 eV/atom; polymorph energy (0 for the lowest one) = 50 meV/atom
1.0
8.329 -3.432 0.000
8.329 3.432 0.000
-1.492 0.000 6.614
Nd Sm Sc
8 2 1
direct
0.097 0.097 0.922
0.161 0.680 0.612
0.255 0.255 0.670
0.320 0.839 0.388
0.680 0.161 0.612
0.745 0.745 0.330
0.839 0.320 0.388
0.903 0.903 0.078
0.316 0.316 0.189
0.684 0.684 0.811
0.500 0.500 0.000

=====

MnTc5, relaxed, DFT PBE; calculated total energy = -9.8435 eV/atom; DFT formation energy = 0.323 eV/atom; polymorph energy (0 for the lowest one) = 274 meV/atom
1.0
0.000 3.581 3.581
3.581 0.000 3.581
3.581 3.581 0.000
Mn Tc
1 5
direct
0.000 0.000 0.000
0.374 0.374 0.374
0.374 0.374 0.879
0.374 0.879 0.374
0.750 0.750 0.750
0.879 0.374 0.374

=====

KAsP2O, relaxed, DFT PBE; calculated total energy = -2.6028 eV/atom; formation energy without anion corrections = 164.2 kJ per mole of atoms; polymorph energy (0 for the lowest one) = 1431 meV/atom
1.0
5.323 0.000 0.000
0.000 5.323 0.000
0.000 0.000 4.041
K As P O
1 1 2 1
direct
0.000 0.000 0.000
0.500 0.500 0.500
0.000 0.500 0.000
0.500 0.000 0.000
0.000 0.000 0.500

=====

SiTeCl2, relaxed, DFT PBE; calculated total energy = -2.6970 eV/atom; formation energy without anion corrections = 35.5 kJ per mole of atoms; polymorph energy (0 for the lowest one) = 690 meV/atom
1.0
6.223 0.000 0.000
0.000 8.962 0.000
0.000 0.000 3.188
Si Te Cl
2 2 4
direct
0.000 0.000 0.000
0.500 0.500 0.000
0.000 0.500 0.000
0.500 0.000 0.000
0.250 0.250 0.500
0.250 0.750 0.500
0.750 0.250 0.500
0.750 0.750 0.500

=====

CaCoP, relaxed, DFT PBE; calculated total energy = -5.6554 eV/atom; DFT formation energy = -0.816 eV/atom
1.0
3.744 0.000 0.000
0.000 3.744 0.000
0.000 0.000 8.139
Ca Co P
2 2 2
direct
0.250 0.250 0.196
0.750 0.750 0.804
0.250 0.750 0.500
0.750 0.250 0.500
0.250 0.250 0.650
0.750 0.750 0.350

=====

HoRe2C2, relaxed, DFT PBE; calculated total energy = -9.6176 eV/atom; DFT formation energy = -0.033 eV/atom
1.0
3.466 -4.364 0.000
3.466 4.364 0.000
-2.981 0.000 4.606
Ho Re C
2 4 4
direct
0.127 0.873 0.750
0.873 0.127 0.250
0.228 0.459 0.965
0.459 0.228 0.465
0.541 0.772 0.535
0.772 0.541 0.035
0.185 0.815 0.250
0.422 0.578 0.750
0.578 0.422 0.250
0.815 0.185 0.750

=====

TbMg10Zn3, relaxed, DFT PBE; calculated total energy = -1.7261 eV/atom; DFT formation energy = 0.017 eV/atom
1.0
0.000 6.879 6.879
6.879 0.000 6.879
6.879 6.879 0.000
Tb Mg Zn
2 20 6
direct
0.250 0.250 0.250
0.750 0.750 0.750
0.000 0.000 0.345
0.000 0.000 0.655
0.000 0.345 0.000
0.000 0.345 0.655
0.000 0.655 0.000
0.000 0.655 0.345
0.157 0.614 0.614
0.345 0.000 0.000
0.345 0.000 0.655
0.345 0.655 0.000
0.386 0.386 0.386
0.386 0.386 0.843
0.386 0.843 0.386
0.614 0.157 0.614
0.614 0.614 0.157
0.614 0.614 0.614
0.655 0.000 0.000
0.655 0.000 0.345
0.655 0.345 0.000
0.843 0.386 0.386
0.269 0.269 0.731
0.269 0.731 0.269
0.269 0.731 0.731
0.731 0.269 0.269
0.731 0.269 0.731
0.731 0.731 0.269

=====

OsRu2Cl, relaxed, DFT PBE; calculated total energy = -6.7818 eV/atom; formation energy without anion corrections = 108.6 kJ per mole of atoms; polymorph energy (0 for the lowest one) = 723 meV/atom
1.0
6.170 0.000 0.000
0.000 6.170 0.000
0.000 0.000 6.170
Os Ru Cl
4 8 4
direct
0.000 0.000 0.000
0.000 0.500 0.500
0.500 0.000 0.500
0.500 0.500 0.000
0.000 0.000 0.500
0.000 0.500 0.000
0.250 0.250 0.250
0.250 0.750 0.750
0.500 0.000 0.000
0.500 0.500 0.500
0.750 0.250 0.750
0.750 0.750 0.250
0.250 0.250 0.750
0.250 0.750 0.250
0.750 0.250 0.250
0.750 0.750 0.750

=====

DyP4N7, relaxed, DFT PBE; calculated total energy = -7.3754 eV/atom; formation energy without anion corrections = -32.0 kJ per mole of atoms
1.0
11.129 0.000 0.000
0.000 5.671 0.000
0.000 0.000 4.737
Dy P N
2 8 14
direct
0.000 0.162 0.000
0.500 0.838 0.500
0.127 0.688 0.355
0.233 0.223 0.349
0.267 0.777 0.849
0.373 0.312 0.855
0.627 0.312 0.855
0.733 0.777 0.849
0.767 0.223 0.349
0.873 0.688 0.355
0.000 0.810 0.245
0.120 0.401 0.270
0.140 0.738 0.688
0.247 0.788 0.189
0.253 0.212 0.689
0.360 0.262 0.188
0.380 0.599 0.770
0.500 0.190 0.745
0.620 0.599 0.770
0.640 0.262 0.188
0.747 0.212 0.689
0.753 0.788 0.189
0.860 0.738 0.688
0.880 0.401 0.270

=====

NaSn2SbIr, relaxed, DFT PBE; calculated total energy = -3.7948 eV/atom; formation energy without anion corrections = 64.3 kJ per mole of atoms; polymorph energy (0 for the lowest one) = 0 meV/atom
1.0
5.784 0.000 0.000
0.000 5.784 0.000
0.000 0.000 4.921
Na Sn Sb Ir
1 2 1 1
direct
0.000 0.000 0.000
0.000 0.500 0.500
0.500 0.000 0.500
0.500 0.500 0.500
0.500 0.500 0.000

=====

EuMgCd, relaxed, DFT PBE; calculated total energy = -4.4444 eV/atom; DFT formation energy = -0.183 eV/atom
1.0
3.622 0.000 0.000
0.000 3.622 0.000
0.000 0.000 12.752
Eu Mg Cd
2 2 2
direct
0.000 0.000 0.000
0.500 0.500 0.500
0.000 0.000 0.694
0.500 0.500 0.194
0.000 0.000 0.324
0.500 0.500 0.824

=====

CeEuHg2, relaxed, DFT PBE; calculated total energy = -4.6135 eV/atom; DFT formation energy = -0.410 eV/atom; polymorph energy (0 for the lowest one) = 0 meV/atom
1.0
5.494 0.000 0.000
0.000 5.494 0.000
0.000 0.000 3.836
Ce Eu Hg
1 1 2
direct
0.000 0.000 0.000
0.500 0.500 0.000
0.000 0.500 0.500
0.500 0.000 0.500